Record 1
This record from the Alexandria database describes a relaxed MnFeAs2C crystal. The functional is PBE-GGA.

a b c (Å): 4.4069 4.4069 3.7003
angles (deg): 90.00 90.00 90.00
With the nearest neighbours (Å) after each atom.
Space group P4/mmm (No. 123)
One atom of each set of equivalent atoms:
Mn  0.0000  0.0000  0.0000 (multiplicity 1)  2 C 1.85
Fe  0.5000  0.5000  0.0000 (multiplicity 1)  8 As 2.88, 4 Mn 3.12
As  0.0000  0.5000  0.5000 (multiplicity 2)  2 C 2.20
C  0.0000  0.0000  0.5000 (multiplicity 1)  2 Mn 1.85

Summary:
- density of states at the Fermi level (states/eV per atom) = 0.719
- uncorrected energy (eV per atom) = -6.410
- E_form (eV per atom) = 0.82
- crystal system = tetragonal

---

Record 2
This record from the Alexandria database describes a relaxed Fe2ReAsC crystal. The functional is PBE-GGA.

a b c (Å): 4.4455 4.4455 3.7502
angles (deg): 90.00 90.00 90.00
With the nearest neighbours (Å) after each atom.
Space group P4/mmm (No. 123)
One atom of each set of equivalent atoms:
Fe  0.0000  0.5000  0.0000 (multiplicity 2)  2 As 2.22
Re  0.0000  0.0000  0.5000 (multiplicity 1)  8 Fe 2.91, 4 C 3.14
As  0.5000  0.5000  0.0000 (multiplicity 1)  2 C 1.88
C  0.5000  0.5000  0.5000 (multiplicity 1)  2 As 1.88

Summary:
- density of states at the Fermi level (states/eV per atom) = 0.976
- uncorrected energy (eV per atom) = -6.671
- E_form (eV per atom) = 1.98
- crystal system = tetragonal

---

Record 3
This record from the Alexandria database describes a relaxed FeReAsC2 crystal. The functional is PBE-GGA.

a b c (Å): 3.6395 3.6395 5.1705
angles (deg): 90.00 90.00 90.00
With the nearest neighbours (Å) after each atom.
Space group P4/mmm (No. 123)
One atom of each set of equivalent atoms:
Fe  0.0000  0.0000  0.0000 (multiplicity 1)  4 C 1.82
Re  0.5000  0.5000  0.5000 (multiplicity 1)  4 As 2.57
As  0.0000  0.0000  0.5000 (multiplicity 1)  4 Re 2.57, 2 Fe 2.59
C  0.0000  0.5000  0.0000 (multiplicity 2)  2 Fe 1.82

Summary:
- density of states at the Fermi level (states/eV per atom) = 0.909
- uncorrected energy (eV per atom) = -7.027
- E_form (eV per atom) = 1.78
- crystal system = tetragonal